! TbPm2Er2Sc, optimized geometry, DFT PBE; values from VASP
! Total energy = -4.896 eV per atom
! V = 376.2 Å³/cell
! Fermi-level density of states = 21.61 states/eV/cell
&SYSTEM
  ibrav = 0, nat = 12, ntyp = 4
/
ATOMIC_SPECIES
Tb 158.93 Tb.upf
Pm 145.00 Pm.upf
Er 167.26 Er.upf
Sc 44.96 Sc.upf
ATOMIC_POSITIONS crystal
Tb 0.000 0.244 0.000
Tb 0.000 0.756 0.500
Pm 0.000 0.418 0.494
Pm 0.000 0.582 0.994
Pm 0.500 0.242 0.660
Pm 0.500 0.758 0.160
Er 0.000 0.077 0.486
Er 0.000 0.923 0.986
Er 0.500 0.412 0.160
Er 0.500 0.588 0.660
Sc 0.500 0.080 0.159
Sc 0.500 0.920 0.659
CELL_PARAMETERS angstrom
5.609 0.000 0.000
0.000 10.779 0.000
0.000 0.000 6.222